This record from the Alexandria database describes a relaxed structure of Pr2Y4In. The functional is GGA-PBE.

Cell and atoms, written as CIF:
```
data_Pr2Y4In
_symmetry_space_group_name_H-M 'P 1 21/c 1'
_symmetry_Int_Tables_number 14
_cell_length_a 6.785
_cell_length_b 11.699
_cell_length_c 6.573
_cell_angle_alpha 90.00
_cell_angle_beta 118.89
_cell_angle_gamma 90.00
loop_
_symmetry_equiv_pos_as_xyz
'x,y,z'
'-x,-y,-z'
'-x,y+1/2,-z+1/2'
'x,-y+1/2,z+1/2'
loop_
_atom_site_label
_atom_site_fract_x
_atom_site_fract_y
_atom_site_fract_z
Pr1 0.191 0.022 0.345
Y1 0.147 0.197 0.823
Y2 0.366 0.749 0.184
In1 0.500 0.000 0.000
```

Properties
V (Å³/cell): 456.8
Magnetic moment (Bohr magnetons per cell): 0.000
Formation enthalpy at 0 K (eV per atom): 0.004
Crystal system: monoclinic

=====

This record from the Alexandria database describes a relaxed structure of PrY3In2. The functional is GGA-PBE.

Cell and atoms, written as CIF:
```
data_PrY3In2
_symmetry_space_group_name_H-M 'P m c 21'
_symmetry_Int_Tables_number 26
_cell_length_a 5.272
_cell_length_b 9.918
_cell_length_c 6.779
_cell_angle_alpha 90.00
_cell_angle_beta 90.00
_cell_angle_gamma 90.00
loop_
_symmetry_equiv_pos_as_xyz
'x,y,z'
'-x,-y,z+1/2'
'-x,y,z'
'x,-y,z+1/2'
loop_
_atom_site_label
_atom_site_fract_x
_atom_site_fract_y
_atom_site_fract_z
Pr1 0.000 0.037 0.000
Y1 0.000 0.323 0.650
Y2 0.500 0.184 0.277
Y3 0.500 0.460 0.933
In1 0.000 0.360 0.178
In2 0.500 0.148 0.747
```

Properties
V (Å³/cell): 354.5
Magnetic moment (Bohr magnetons per cell): 0.001
Formation enthalpy at 0 K (eV per atom): -0.381
Crystal system: orthorhombic